A geometry-optimized Pm3Ge3Ir structure, computed with PBE.

Cell: 5.810 5.810 13.865 Å, 90.00 90.00 137.88°
Fractional positions:
Pm: 0.001 0.999 0.750
Pm: 0.290 0.710 0.099
Pm: 0.290 0.710 0.401
Pm: 0.710 0.290 0.599
Pm: 0.710 0.290 0.901
Pm: 0.999 0.001 0.250
Ge: 0.282 0.718 0.750
Ge: 0.428 0.572 0.594
Ge: 0.428 0.572 0.906
Ge: 0.572 0.428 0.094
Ge: 0.572 0.428 0.406
Ge: 0.718 0.282 0.250
Ir: 0.000 0.000 0.000
Ir: 0.000 0.000 0.500

Output
Space-group type: Cmcm (63)
ΔE to the lowest computed polymorph in meV per atom: 0
Formation energy in eV/atom: -0.826



A geometry-optimized Pm8GeIr5 structure, computed with PBE.

Cell: 7.691 7.691 7.691 Å, 109.23 109.23 109.96°
Fractional positions:
Pm: 0.004 0.375 0.247
Pm: 0.128 0.757 0.753
Pm: 0.132 0.252 0.757
Pm: 0.243 0.996 0.372
Pm: 0.495 0.375 0.243
Pm: 0.625 0.868 0.120
Pm: 0.625 0.872 0.628
Pm: 0.748 0.505 0.880
Ge: 0.750 0.250 0.500
Ir: 0.000 0.000 0.000
Ir: 0.257 0.627 0.129
Ir: 0.373 0.502 0.630
Ir: 0.498 0.128 0.871
Ir: 0.872 0.743 0.370

Output
Space-group type: I-4 (82)
Formation energy in eV/atom: -0.621



A geometry-optimized Pm3Ge2Ir structure, computed with PBE.

Cell: 12.033 4.323 11.529 Å, 90.00 90.00 90.00°
Fractional positions:
Pm: 0.055 0.250 0.128
Pm: 0.120 0.750 0.555
Pm: 0.223 0.250 0.801
Pm: 0.277 0.750 0.301
Pm: 0.380 0.250 0.055
Pm: 0.445 0.750 0.628
Pm: 0.555 0.250 0.372
Pm: 0.620 0.750 0.945
Pm: 0.723 0.250 0.699
Pm: 0.777 0.750 0.199
Pm: 0.880 0.250 0.445
Pm: 0.945 0.750 0.872
Ge: 0.014 0.750 0.311
Ge: 0.191 0.750 0.001
Ge: 0.309 0.250 0.501
Ge: 0.486 0.250 0.811
Ge: 0.514 0.750 0.189
Ge: 0.691 0.750 0.499
Ge: 0.809 0.250 0.999
Ge: 0.986 0.250 0.689
Ir: 0.130 0.250 0.370
Ir: 0.370 0.750 0.870
Ir: 0.630 0.250 0.130
Ir: 0.870 0.750 0.630

Output
Space-group type: Pnma (62)
ΔE to the lowest computed polymorph in meV per atom: 0
Formation energy in eV/atom: -0.831



A geometry-optimized PmGeIr2 structure, computed with PBE.

Cell: 4.030 4.030 9.728 Å, 90.00 90.00 90.00°
Fractional positions:
Pm: 0.250 0.250 0.204
Pm: 0.750 0.750 0.796
Ge: 0.250 0.250 0.649
Ge: 0.750 0.750 0.351
Ir: 0.250 0.250 0.897
Ir: 0.250 0.750 0.500
Ir: 0.750 0.250 0.500
Ir: 0.750 0.750 0.103

Output
Space-group type: P4/nmm (129)
Formation energy in eV/atom: -0.504